Arrangement w

Compound: Tc2H2Os
Source: Alexandria via LeMat-Bulk
Functional: PBE-GGA
Structure: optimized geometry

a b c (Å): 2.8561 2.8561 6.3361
angles (deg): 76.97 76.97 90.00
Atoms (fractional coordinates):
Tc: 0.3500 0.3500 0.3000
H: 0.7500 0.2500 0.5000
H: 0.2500 0.7500 0.5000
Os: 0.0000 0.0000 0.0000
Tc: 0.6500 0.6500 0.7000

=====

Arrangement x

Compound: Tc2H2Os
Source: Alexandria via LeMat-Bulk
Functional: PBE-GGA
Structure: optimized geometry

a b c (Å): 5.9859 5.9859 2.8080
angles (deg): 90.00 90.00 90.00
Atoms (fractional coordinates):
Tc: 0.3645 0.1355 0.5000
H: 0.7008 0.2008 0.0000
Tc: 0.6355 0.8645 0.5000
H: 0.2992 0.7992 0.0000
Tc: 0.1355 0.6355 0.5000
Tc: 0.8645 0.3645 0.5000
H: 0.7992 0.7008 0.0000
H: 0.2008 0.2992 0.0000
Os: 0.0000 0.0000 0.0000
Os: 0.5000 0.5000 0.0000

=====

It is arrangement w that is the most stable of them.

=====

Arrangement w

Compound: TcH2Os
Source: Alexandria via LeMat-Bulk
Functional: PBE-GGA
Structure: optimized geometry

a b c (Å): 3.7213 3.7213 3.7213
angles (deg): 60.00 60.00 60.00
Atoms (fractional coordinates):
Tc: 0.0000 0.0000 0.0000
Os: 0.5000 0.5000 0.5000
H: 0.2500 0.2500 0.2500
H: 0.7500 0.7500 0.7500

=====

Arrangement x

Compound: TcH2Os
Source: Alexandria via LeMat-Bulk
Functional: PBE-GGA
Structure: optimized geometry

a b c (Å): 4.1349 4.1349 5.0549
angles (deg): 65.86 65.86 90.00
Atoms (fractional coordinates):
H: 0.1211 0.6250 0.2500
Tc: 0.2500 0.7500 0.5000
Tc: 0.5000 0.5000 0.0000
H: 0.3750 0.3711 0.7500
H: 0.6289 0.1250 0.2500
H: 0.8750 0.8789 0.7500
Os: 0.7500 0.2500 0.5000
Os: 0.0000 0.0000 0.0000

=====

It is arrangement x that is the most stable of them.